(1)
Nd14SmEr | Alexandria | PBE-GGA | relaxed; DFT total energy = -0.1741 hartree per atom; space group = No. 123; formation energy from the elements = 0.01 eV per atom; magnetic moment = 0.00 μB/cell
1.0
7.266 0.976 0.000
-0.974 7.266 0.000
0.000 0.000 10.372
Nd Sm Er
14 1 1
Direct
0.375 0.625 0.500
0.875 0.125 0.500
0.875 0.625 0.000
0.875 0.625 0.500
0.375 0.125 0.000
0.375 0.125 0.500
0.624 0.874 0.752
0.624 0.874 0.248
0.126 0.376 0.752
0.126 0.376 0.248
0.126 0.874 0.752
0.126 0.874 0.248
0.624 0.376 0.752
0.624 0.376 0.248
0.875 0.125 0.000
0.375 0.625 0.000

(2)
Nd3SmEr6 | Alexandria | PBE-GGA | relaxed; DFT total energy = -0.1622 hartree per atom; space group = No. 12; formation energy from the elements = 0.23 eV per atom; magnetic moment = 0.00 μB/cell
1.0
6.080 0.000 -2.468
-1.213 9.086 -2.988
-0.880 -0.480 6.555
Nd Sm Er
3 1 6
Direct
0.930 0.302 0.860
0.070 0.698 0.140
0.000 0.000 0.000
0.500 0.500 0.000
0.438 0.311 0.371
0.067 0.689 0.629
0.562 0.689 0.629
0.933 0.311 0.371
0.362 0.078 0.725
0.638 0.922 0.275

(3)
Nd8SmEr2 | Alexandria | PBE-GGA | relaxed; DFT total energy = -0.1676 hartree per atom; space group = No. 12; formation energy from the elements = 0.17 eV per atom; magnetic moment = 0.00 μB/cell
1.0
6.329 1.801 1.366
2.138 9.741 3.119
2.138 5.626 8.542
Nd Sm Er
8 1 2
Direct
0.233 0.349 0.826
0.767 0.174 0.651
0.169 0.755 0.755
0.831 0.245 0.245
0.233 0.826 0.349
0.767 0.651 0.174
0.725 0.595 0.595
0.275 0.405 0.405
0.000 0.000 0.000
0.590 0.801 0.801
0.410 0.199 0.199

(4)
Nd4SmEr2 | Alexandria | PBE-GGA | relaxed; DFT total energy = -0.1706 hartree per atom; space group = No. 43; formation energy from the elements = 0.06 eV per atom; magnetic moment = 0.00 μB/cell
1.0
12.121 -3.110 -1.558
-9.494 8.151 -1.557
0.023 0.044 6.837
Nd Sm Er
8 2 4
Direct
0.715 0.177 0.868
0.177 0.715 0.368
0.186 0.794 0.899
0.794 0.186 0.399
0.037 0.145 0.601
0.560 0.597 0.133
0.597 0.560 0.633
0.145 0.037 0.101
0.424 0.674 0.500
0.674 0.424 0.000
0.622 0.305 0.449
0.922 0.105 0.051
0.105 0.922 0.551
0.305 0.622 0.949

Question: What is the formula in the second record?
Answer: Nd3SmEr6